<w>
# Tm4AlAg2 GGA-PBE optimized geometry
data_Tm4AlAg2
_chemical_formula_sum 'Tm4 Al1 Ag2'
_cell_length_a 9.296
_cell_length_b 9.296
_cell_length_c 9.296
_cell_angle_alpha 30.88
_cell_angle_beta 30.88
_cell_angle_gamma 30.88
_space_group_name_H-M_alt 'P 1'
_space_group_IT_number 1
loop_
_space_group_symop_operation_xyz
'x,y,z'
loop_
_atom_site_label
_atom_site_fract_x
_atom_site_fract_y
_atom_site_fract_z
Tm1 0.125 0.125 0.125
Tm2 0.291 0.291 0.291
Tm3 0.709 0.709 0.709
Tm4 0.875 0.875 0.875
Al1 0.500 0.500 0.500
Ag1 0.403 0.403 0.403
Ag2 0.597 0.597 0.597
# N(E_F), states/eV per atom: 1.1458
# Space group: R-3m, No. 166

<x>
# Tm4AlAg2 GGA-PBE optimized geometry
data_Tm4AlAg2
_chemical_formula_sum 'Tm4 Al1 Ag2'
_cell_length_a 8.565
_cell_length_b 8.565
_cell_length_c 8.565
_cell_angle_alpha 34.14
_cell_angle_beta 34.14
_cell_angle_gamma 34.14
_space_group_name_H-M_alt 'P 1'
_space_group_IT_number 1
loop_
_space_group_symop_operation_xyz
'x,y,z'
loop_
_atom_site_label
_atom_site_fract_x
_atom_site_fract_y
_atom_site_fract_z
Tm1 0.119 0.119 0.119
Tm2 0.372 0.372 0.372
Tm3 0.628 0.628 0.628
Tm4 0.881 0.881 0.881
Al1 0.500 0.500 0.500
Ag1 0.246 0.246 0.246
Ag2 0.754 0.754 0.754
# N(E_F), states/eV per atom: 0.8818
# Space group: R-3m, No. 166

The winner here is <x>, beating the second structure by 121 meV/atom.

<w>
# TmAl3Ag3 GGA-PBE optimized geometry
data_TmAl3Ag3
_chemical_formula_sum 'Tm2 Al6 Ag6'
_cell_length_a 8.746
_cell_length_b 8.746
_cell_length_c 8.746
_cell_angle_alpha 60.00
_cell_angle_beta 60.00
_cell_angle_gamma 60.00
_space_group_name_H-M_alt 'P 1'
_space_group_IT_number 1
loop_
_space_group_symop_operation_xyz
'x,y,z'
loop_
_atom_site_label
_atom_site_fract_x
_atom_site_fract_y
_atom_site_fract_z
Tm1 0.250 0.250 0.250
Tm2 0.750 0.750 0.750
Al1 0.150 0.150 0.850
Al2 0.150 0.850 0.150
Al3 0.150 0.850 0.850
Al4 0.850 0.150 0.150
Al5 0.850 0.150 0.850
Al6 0.850 0.850 0.150
Ag1 0.342 0.342 0.658
Ag2 0.342 0.658 0.342
Ag3 0.342 0.658 0.658
Ag4 0.658 0.342 0.342
Ag5 0.658 0.342 0.658
Ag6 0.658 0.658 0.342
# N(E_F), states/eV per atom: 0.6572
# Space group: Fm-3m, No. 225

<x>
# TmAl3Ag3 GGA-PBE optimized geometry
data_TmAl3Ag3
_chemical_formula_sum 'Tm2 Al6 Ag6'
_cell_length_a 6.968
_cell_length_b 6.968
_cell_length_c 6.968
_cell_angle_alpha 90.00
_cell_angle_beta 90.00
_cell_angle_gamma 90.00
_space_group_name_H-M_alt 'P 1'
_space_group_IT_number 1
loop_
_space_group_symop_operation_xyz
'x,y,z'
loop_
_atom_site_label
_atom_site_fract_x
_atom_site_fract_y
_atom_site_fract_z
Tm1 0.000 0.000 0.000
Tm2 0.500 0.500 0.500
Al1 0.000 0.250 0.500
Al2 0.000 0.750 0.500
Al3 0.250 0.500 0.000
Al4 0.500 0.000 0.250
Al5 0.500 0.000 0.750
Al6 0.750 0.500 0.000
Ag1 0.000 0.500 0.250
Ag2 0.000 0.500 0.750
Ag3 0.250 0.000 0.500
Ag4 0.500 0.250 0.000
Ag5 0.500 0.750 0.000
Ag6 0.750 0.000 0.500
# N(E_F), states/eV per atom: 0.4812
# Space group: Pm-3n, No. 223

<y>
# TmAl3Ag3 GGA-PBE optimized geometry
data_TmAl3Ag3
_chemical_formula_sum 'Tm2 Al6 Ag6'
_cell_length_a 6.989
_cell_length_b 6.989
_cell_length_c 6.989
_cell_angle_alpha 69.89
_cell_angle_beta 69.89
_cell_angle_gamma 69.89
_space_group_name_H-M_alt 'P 1'
_space_group_IT_number 1
loop_
_space_group_symop_operation_xyz
'x,y,z'
loop_
_atom_site_label
_atom_site_fract_x
_atom_site_fract_y
_atom_site_fract_z
Tm1 0.176 0.176 0.176
Tm2 0.824 0.824 0.824
Al1 0.049 0.371 0.713
Al2 0.287 0.951 0.629
Al3 0.371 0.713 0.049
Al4 0.629 0.287 0.951
Al5 0.713 0.049 0.371
Al6 0.951 0.629 0.287
Ag1 0.156 0.745 0.443
Ag2 0.255 0.557 0.844
Ag3 0.443 0.156 0.745
Ag4 0.557 0.844 0.255
Ag5 0.745 0.443 0.156
Ag6 0.844 0.255 0.557
# N(E_F), states/eV per atom: 0.1880
# Space group: R-3, No. 148

The winner here is <y>, beating the second structure by 458 meV/atom.